*A*
Nb2Mo3W3 after structural relaxation, computed with PBE.

```
16
Lattice="4.728 0.000 0.000 0.000 10.567 0.000 -0.144 0.000 5.417" Properties=species:S:1:pos:R:3 pbc="T T T"
Nb 0.808 1.231 2.051
Nb 0.808 4.053 2.051
Nb 3.776 6.514 3.366
Nb 3.776 9.336 3.366
Mo 0.484 2.642 4.793
Mo 1.445 6.635 1.928
Mo 1.445 9.215 1.928
Mo 3.139 1.352 3.489
Mo 3.139 3.932 3.489
Mo 4.100 7.925 0.624
W 1.061 5.342 4.727
W 1.061 10.508 4.727
W 1.595 7.925 4.642
W 2.989 2.642 0.775
W 3.523 0.058 0.690
W 3.523 5.225 0.690
```

Output
Magnetization in μB/atom: 0.00
Space-group type: P2_1/m, No. 11

*B*
Nb2Mo3W3 after structural relaxation, computed with PBE.

```
8
Lattice="-2.265 2.266 6.422 2.265 -2.266 6.422 2.265 2.266 -6.422" Properties=species:S:1:pos:R:3 pbc="T T T"
Nb 0.000 0.000 3.213
Nb 0.000 0.000 9.630
Mo 0.000 0.000 0.000
Mo 2.265 0.000 4.841
Mo 0.000 2.266 1.580
W 2.265 0.000 1.565
W 0.000 0.000 6.422
W 0.000 2.266 4.856
```

Output
Magnetization in μB/atom: 0.00
Space-group type: Immm, No. 71

The structure shown above that is least stable: *A*.